1.
A plane-wave DFT calculation with GGA-PBE was carried out for a relaxed structure of TmMnSn2.

**Symmetry**: P4/mmm
**DFT formation energy**: -0.21 eV/atom
**Crystal system**: tetragonal

Cell lengths 4.541, 4.541, 4.335 Å; angles 90.00, 90.00, 90.00 degrees
Sites, in units of the cell vectors:
Tm 0.000 0.000 0.000
Mn 0.500 0.500 0.000
Sn 0.000 0.500 0.500
Sn 0.500 0.000 0.500

=====

2.
A plane-wave DFT calculation with GGA-PBE was carried out for a relaxed structure of La3Cu.

**Symmetry**: P-6m2
**DFT formation energy**: 0.05 eV/atom
**Crystal system**: hexagonal

Cell lengths 3.858, 3.858, 10.196 Å; angles 90.00, 90.00, 120.00 degrees
Sites, in units of the cell vectors:
La 0.000 0.000 0.000
La 0.333 0.667 0.302
La 0.333 0.667 0.698
Cu 0.000 0.000 0.500

=====

3.
A plane-wave DFT calculation with GGA-PBE was carried out for a relaxed structure of Cs2RuPbO6.

**Symmetry**: P-3m1
**Formation energy without anion corrections**: -1036 meV per atom
**Crystal system**: trigonal

Cell lengths 6.600, 6.600, 5.851 Å; angles 90.00, 90.00, 120.00 degrees
Sites, in units of the cell vectors:
Cs 0.333 0.667 0.162
Cs 0.667 0.333 0.838
Ru 0.000 0.000 0.000
Pb 0.000 0.000 0.500
O 0.134 0.267 0.798
O 0.134 0.866 0.798
O 0.267 0.134 0.202
O 0.733 0.866 0.798
O 0.866 0.134 0.202
O 0.866 0.733 0.202

=====

4.
A plane-wave DFT calculation with GGA-PBE was carried out for a relaxed structure of Th2CrPt9.

**Symmetry**: P4/mmm
**DFT formation energy**: -0.79 eV/atom
**Crystal system**: tetragonal

Cell lengths 4.167, 4.167, 12.289 Å; angles 90.00, 90.00, 90.00 degrees
Sites, in units of the cell vectors:
Th 0.000 0.000 0.177
Th 0.000 0.000 0.823
Cr 0.000 0.000 0.500
Pt 0.000 0.500 0.000
Pt 0.000 0.500 0.348
Pt 0.000 0.500 0.652
Pt 0.500 0.000 0.000
Pt 0.500 0.000 0.348
Pt 0.500 0.000 0.652
Pt 0.500 0.500 0.173
Pt 0.500 0.500 0.500
Pt 0.500 0.500 0.827

=====

Number 1: DFT total energy -22.5 eV per cell. Number 2: DFT total energy -18.7 eV per cell. Number 3: DFT total energy -54.8 eV per cell. Number 4: DFT total energy -88.3 eV per cell.